Compound: FeSi2AgB
Source: Alexandria via LeMat-Bulk
Functional: PBE
Structure: relaxed

Lattice parameters (Å, degrees): 4.4032 3.8726 4.4032 90.00 90.00 90.00
Element x y z (fractional)
Si 0.0000 0.0000 0.5000
Si 0.5000 0.0000 0.0000
B 0.0000 0.5000 0.0000
Fe 0.0000 0.0000 0.0000
Ag 0.5000 0.5000 0.5000

**Formation energy without anion corrections**: 52 kJ/mol of atoms
**Raw total energy**: -26.15 eV/cell